No. 1
! MgP4Br | Alexandria | PBE-GGA | relaxed; values from VASP
! SG: F-43m (216)
&SYSTEM
  ibrav = 0, nat = 6, ntyp = 3
/
ATOMIC_SPECIES
P 30.97 P.upf
Mg 24.30 Mg.upf
Br 79.90 Br.upf
CELL_PARAMETERS angstrom
0.000 4.190 4.190
4.190 0.000 4.190
4.190 4.190 0.000
ATOMIC_POSITIONS crystal
P 0.593 0.593 0.593
P 0.220 0.593 0.593
Mg 0.000 0.000 0.000
P 0.593 0.593 0.220
Br 0.250 0.250 0.250
P 0.593 0.220 0.593

---

No. 2
! MgP3Br | Alexandria | PBE-GGA | relaxed; values from VASP
! Excess energy over the best structure of this formula in the dataset: 0 meV/atom
! SG: Pm-3m (221)
&SYSTEM
  ibrav = 0, nat = 5, ntyp = 3
/
ATOMIC_SPECIES
P 30.97 P.upf
Br 79.90 Br.upf
Mg 24.30 Mg.upf
CELL_PARAMETERS angstrom
4.874 0.000 0.000
0.000 4.874 0.000
0.000 0.000 4.874
ATOMIC_POSITIONS crystal
P 0.500 0.000 0.000
P 0.000 0.000 0.500
Br 0.500 0.500 0.500
Mg 0.000 0.000 0.000
P 0.000 0.500 0.000

---

No. 3
! MgPBr | Alexandria | PBE-GGA | relaxed; values from VASP
! Excess energy over the best structure of this formula in the dataset: 70 meV/atom
! SG: Imm2 (44)
&SYSTEM
  ibrav = 0, nat = 12, ntyp = 3
/
ATOMIC_SPECIES
Br 79.90 Br.upf
P 30.97 P.upf
Mg 24.30 Mg.upf
CELL_PARAMETERS angstrom
-8.902 9.104 3.264
-0.404 -1.521 3.142
5.082 4.035 2.606
ATOMIC_POSITIONS crystal
Br 0.707 0.500 0.058
P 0.000 0.500 0.910
P 0.500 0.000 0.410
Br 0.293 0.500 0.058
P 0.500 0.500 0.637
Mg 0.340 0.500 0.433
Mg 0.660 0.500 0.433
Mg 0.840 0.000 0.933
Mg 0.160 0.000 0.933
Br 0.793 0.000 0.558
P 0.000 0.000 0.137
Br 0.207 0.000 0.558

---

No. 4
! Rb2MgPBr6 | Alexandria | PBE-GGA | relaxed; values from VASP
! SG: I4/mmm (139)
&SYSTEM
  ibrav = 0, nat = 10, ntyp = 4
/
ATOMIC_SPECIES
Br 79.90 Br.upf
Rb 85.47 Rb.upf
P 30.97 P.upf
Mg 24.30 Mg.upf
CELL_PARAMETERS angstrom
7.574 0.000 0.000
0.000 7.574 0.000
3.787 3.787 5.928
ATOMIC_POSITIONS crystal
Br 0.714 0.714 0.571
Br 0.286 0.286 0.429
Br 0.238 0.238 0.000
Rb 0.750 0.250 0.500
P 0.000 0.000 0.000
Mg 0.500 0.500 0.000
Rb 0.250 0.750 0.500
Br 0.762 0.238 0.000
Br 0.762 0.762 0.000
Br 0.238 0.762 0.000

---

| no. | E_form (uncorrected) (eV/atom) |
| --- | --- |
| 1 | 0.111 |
| 2 | 1.073 |
| 3 | -0.727 |
| 4 | -1.067 |